# 1
Entry from Alexandria via LeMat-Bulk: a geometry-optimized La3Er7Tm2 structure (GGA-PBE).

```
La3Er7Tm2
1.0
-2.822 2.098 0.915
0.046 -2.183 5.147
14.181 13.493 5.597
La Er Tm
3 7 2
direct
0.500 0.500 0.000
0.171 0.000 0.342
0.829 0.000 0.658
0.415 0.000 0.831
0.000 0.000 0.000
0.585 0.000 0.169
0.284 0.500 0.569
0.716 0.500 0.431
0.068 0.500 0.136
0.932 0.500 0.864
0.363 0.500 0.727
0.637 0.500 0.273
```

Results
The value obtained for the total energy is -4.4047 eV/atom.

# 2
Entry from Alexandria via LeMat-Bulk: a geometry-optimized Eu2PuCu structure (GGA-PBE).

```
Eu2PuCu
1.0
3.617 0.000 0.000
0.000 3.617 0.000
0.000 0.000 8.915
Pu Cu Eu
1 1 2
direct
0.500 0.500 0.500
0.500 0.500 0.000
0.000 0.000 0.798
0.000 0.000 0.202
```

Results
The value obtained for the total energy is -9.6273 eV/atom.

For the records above, the corresponding formation energy from the elements values read 2.81 0.47 eV per formula unit.
For the records above, the corresponding mass density values read 7.761 8.704 Mg/m³.